Compound: TmSi2Tc2
Source: the Alexandria database
Functional: PBE
Structure: relaxed

abc: 5.7880 5.7878 4.1228
angles: 69.14 69.13 41.73
Fractional positions:
Tm  0.0000  0.0000  0.0000
Si  0.3778  0.3778  0.6222
Si  0.6222  0.6222  0.3778
Tc  0.2500  0.2500  0.2500
Tc  0.7500  0.7500  0.7500

**Uncorrected formation energy**: -0.6177 eV/atom
**Volume**: 17.00 Å³/atom
**DOS at the Fermi energy**: 3.9 states/eV per cell
**Raw total energy**: -39.1 eV for the cell shown
**Theoretical density**: 8.23 g/cm3
**Relative energy among the computed polymorphs**: 0 meV/atom



Compound: TmVSi2Tc
Source: the Alexandria database
Functional: PBE
Structure: relaxed

abc: 6.0669 6.0669 6.0669
angles: 142.38 142.38 54.26
Fractional positions:
Tm  0.0000  0.0000  0.0000
V  0.7500  0.2500  0.5000
Si  0.3892  0.3892  0.0000
Si  0.6108  0.6108  0.0000
Tc  0.2500  0.7500  0.5000

**Uncorrected formation energy**: -0.6464 eV/atom
**Volume**: 16.53 Å³/atom
**DOS at the Fermi energy**: 2.9 states/eV per cell
**Raw total energy**: -38.0 eV for the cell shown
**Theoretical density**: 7.51 g/cm3



- What is the DOS at the Fermi energy in the first record?
  3.9 states/eV per cell